Record 1
DFT (meta-GGA SCAN) results for B3PdI at its PBEsol-relaxed geometry.

Cell lengths 4.3159, 4.3159, 4.3159 Å; angles 90.00, 90.00, 90.00 degrees
Last column: nearest neighbours and their distance in Å.
Fractional positions:
B 0.0000 0.0000 0.5000  2 I 2.16
B 0.0000 0.5000 0.0000  2 I 2.16
B 0.5000 0.0000 0.0000  2 I 2.16
Pd 0.5000 0.5000 0.5000  12 B 3.05
I 0.0000 0.0000 0.0000  6 B 2.16

Output
**Space-group type**: Pm-3m (221)
**Density of states at the Fermi level**: 3.01 states/eV/f.u.

***

Record 2
DFT (meta-GGA SCAN) results for BSb2PdI at its PBEsol-relaxed geometry.

Cell lengths 4.6983, 4.6983, 4.8541 Å; angles 90.00, 90.00, 90.00 degrees
Last column: nearest neighbours and their distance in Å.
Fractional positions:
B 0.0000 0.0000 0.0000  4 Sb 2.35, 2 I 2.43
Sb 0.0000 0.5000 0.0000  2 B 2.35
Sb 0.5000 0.0000 0.0000  2 B 2.35
Pd 0.5000 0.5000 0.5000  4 I 3.32, 8 Sb 3.38
I 0.0000 0.0000 0.5000  2 B 2.43

Output
**Space-group type**: P4/mmm (123)
**Density of states at the Fermi level**: 2.47 states/eV/f.u.

***

Record 3
DFT (meta-GGA SCAN) results for SnB2PdI at its PBEsol-relaxed geometry.

Cell lengths 4.3060, 4.3060, 5.8492 Å; angles 90.00, 90.00, 90.00 degrees
Last column: nearest neighbours and their distance in Å.
Fractional positions:
Sn 0.0000 0.0000 0.0000  2 I 2.92, 4 Pd 3.04
B 0.0000 0.5000 0.5000  2 I 2.15
B 0.5000 0.0000 0.5000  2 I 2.15
Pd 0.5000 0.5000 0.0000  4 Sn 3.04
I 0.0000 0.0000 0.5000  4 B 2.15

Output
**Space-group type**: P4/mmm (123)
**Density of states at the Fermi level**: 2.56 states/eV/f.u.

***

Record 4
DFT (meta-GGA SCAN) results for RbBTeI2 at its PBEsol-relaxed geometry.

Cell lengths 6.6211, 6.6211, 6.5077 Å; angles 90.00, 90.00, 90.00 degrees
Last column: nearest neighbours and their distance in Å.
Fractional positions:
Rb 0.0000 0.0000 0.0000  2 Te 3.25, 4 I 3.31
B 0.5000 0.5000 0.5000  8 I 4.64, 4 Te 4.68
Te 0.0000 0.0000 0.5000  2 Rb 3.25
I 0.0000 0.5000 0.0000  2 Rb 3.31
I 0.5000 0.0000 0.0000  2 Rb 3.31

Output
**Space-group type**: P4/mmm (123)
**Density of states at the Fermi level**: 5.09 states/eV/f.u.

***

Record 5
DFT (meta-GGA SCAN) results for Re3BI at its PBEsol-relaxed geometry.

Cell lengths 4.7800, 4.7800, 4.7800 Å; angles 90.00, 90.00, 90.00 degrees
Last column: nearest neighbours and their distance in Å.
Fractional positions:
Re 0.0000 0.0000 0.5000  2 I 2.39
Re 0.0000 0.5000 0.0000  2 I 2.39
Re 0.5000 0.0000 0.0000  2 I 2.39
B 0.5000 0.5000 0.5000  12 Re 3.38
I 0.0000 0.0000 0.0000  6 Re 2.39

Output
**Space-group type**: Pm-3m (221)
**Density of states at the Fermi level**: 2.98 states/eV/f.u.

***

Record 6
DFT (meta-GGA SCAN) results for BRh3I at its PBEsol-relaxed geometry.

Cell lengths 4.7631, 4.7631, 4.7631 Å; angles 90.00, 90.00, 90.00 degrees
Last column: nearest neighbours and their distance in Å.
Fractional positions:
B 0.0000 0.0000 0.0000  12 Rh 3.37
Rh 0.0000 0.5000 0.5000  2 I 2.38
Rh 0.5000 0.0000 0.5000  2 I 2.38
Rh 0.5000 0.5000 0.0000  2 I 2.38
I 0.5000 0.5000 0.5000  6 Rh 2.38

Output
**Space-group type**: Pm-3m (221)
**Density of states at the Fermi level**: 4.76 states/eV/f.u.

***

| no. | formation energy without anion corrections (meV per atom) | E_tot (eV/cell) |
| --- | --- | --- |
| 1 | 2779 | -77.9 |
| 2 | 999 | -146.5 |
| 3 | 2219 | -109.2 |
| 4 | 1216 | -132.8 |
| 5 | 3955 | -237.7 |
| 6 | 2099 | -135.0 |